VASP calculation (GGA-PBE) on crystalline Ac8Sn5Au at its relaxed geometry.

```
data_Ac8Sn5Au
_cell_length_a 10.056
_cell_length_b 10.056
_cell_length_c 10.265
_cell_angle_alpha 90.00
_cell_angle_beta 90.00
_cell_angle_gamma 90.00
_space_group_name_H-M_alt 'I -4'
_space_group_IT_number 82
loop_
_space_group_symop_operation_xyz
'x,y,z'
'y,-x,-z'
'-x,-y,z'
'-y,x,-z'
'x+1/2,y+1/2,z+1/2'
'y+1/2,-x+1/2,-z+1/2'
'-x+1/2,-y+1/2,z+1/2'
'-y+1/2,x+1/2,-z+1/2'
loop_
_atom_site_label
_atom_site_type_symbol
_atom_site_fract_x
_atom_site_fract_y
_atom_site_fract_z
Ac1 Ac 0.068 0.189 0.197
Ac2 Ac 0.073 0.319 0.559
Sn1 Sn 0.000 0.000 0.500
Sn2 Sn 0.122 0.250 0.877
Au1 Au 0.000 0.500 0.250
```

Results
For the uncorrected energy, the calculation gives -4.67 eV/atom. As for the density of states at the Fermi level: 20.26 states/eV/cell. Its formation energy is -0.66 eV/atom.

=====

VASP calculation (GGA-PBE) on crystalline Na2SrHPd at its relaxed geometry.

```
data_Na2SrHPd
_cell_length_a 4.511
_cell_length_b 4.511
_cell_length_c 5.323
_cell_angle_alpha 90.00
_cell_angle_beta 90.00
_cell_angle_gamma 90.00
_space_group_name_H-M_alt 'P 4/m m m'
_space_group_IT_number 123
_space_group_name_Hall '-P 4 2'
loop_
_atom_site_label
_atom_site_type_symbol
_atom_site_fract_x
_atom_site_fract_y
_atom_site_fract_z
Na1 Na 0.000 0.500 0.000
Sr1 Sr 0.000 0.000 0.500
H1 H 0.000 0.000 0.000
Pd1 Pd 0.500 0.500 0.500
```

Results
For the uncorrected energy, the calculation gives -2.77 eV/atom. As for the density of states at the Fermi level: 1.56 states/eV/cell.

=====

VASP calculation (GGA-PBE) on crystalline TeOs2Pt at its relaxed geometry.

```
data_TeOs2Pt
_cell_length_a 9.227
_cell_length_b 2.977
_cell_length_c 4.976
_cell_angle_alpha 90.00
_cell_angle_beta 99.87
_cell_angle_gamma 90.00
_space_group_name_H-M_alt 'C 1 m 1'
_space_group_IT_number 8
loop_
_space_group_symop_operation_xyz
'x,y,z'
'x,-y,z'
'x+1/2,y+1/2,z'
'x+1/2,-y+1/2,z'
loop_
_atom_site_label
_atom_site_type_symbol
_atom_site_fract_x
_atom_site_fract_y
_atom_site_fract_z
Te1 Te 0.000 0.000 0.000
Os1 Os 0.011 0.500 0.538
Os2 Os 0.249 0.000 0.727
Pt1 Pt 0.263 0.500 0.280
```

Results
For the uncorrected energy, the calculation gives -7.29 eV/atom. As for the density of states at the Fermi level: 6.04 states/eV/cell. The calculation puts the formation energy from raw total energies at 0.618 eV/atom.

=====

VASP calculation (GGA-PBE) on crystalline BPOsN2 at its relaxed geometry.

```
data_BPOsN2
_cell_length_a 3.697
_cell_length_b 3.697
_cell_length_c 5.246
_cell_angle_alpha 90.00
_cell_angle_beta 90.00
_cell_angle_gamma 90.00
_space_group_name_H-M_alt 'P 4/m m m'
_space_group_IT_number 123
_space_group_name_Hall '-P 4 2'
loop_
_atom_site_label
_atom_site_type_symbol
_atom_site_fract_x
_atom_site_fract_y
_atom_site_fract_z
B1 B 0.000 0.000 0.000
P1 P 0.500 0.500 0.000
Os1 Os 0.500 0.500 0.500
N1 N 0.000 0.500 0.500
```

Results
For the uncorrected energy, the calculation gives -6.61 eV/atom. As for the density of states at the Fermi level: 2.62 states/eV/cell. The calculation puts the formation energy from raw total energies at 1.379 eV/atom.

=====

VASP calculation (GGA-PBE) on crystalline Mn2V2FeRh5 at its relaxed geometry.

```
data_Mn2V2FeRh5
_cell_length_a 8.866
_cell_length_b 8.866
_cell_length_c 3.728
_cell_angle_alpha 90.00
_cell_angle_beta 90.00
_cell_angle_gamma 90.00
_space_group_name_H-M_alt 'P 4/m b m'
_space_group_IT_number 127
_space_group_name_Hall '-P 4 2ab'
loop_
_atom_site_label
_atom_site_type_symbol
_atom_site_fract_x
_atom_site_fract_y
_atom_site_fract_z
Mn1 Mn 0.168 0.332 0.000
V1 V 0.132 0.632 0.000
Fe1 Fe 0.000 0.000 0.000
Rh1 Rh 0.000 0.500 0.500
Rh2 Rh 0.075 0.801 0.500
```

Results
For the uncorrected energy, the calculation gives -8.19 eV/atom. As for the density of states at the Fermi level: 16.93 states/eV/cell. Its formation energy is -0.01 eV/atom.

=====

VASP calculation (GGA-PBE) on crystalline YCdTe at its relaxed geometry.

```
data_YCdTe
_cell_length_a 4.1431
_cell_length_b 4.1431
_cell_length_c 6.4018
_cell_angle_alpha 90.00
_cell_angle_beta 90.00
_cell_angle_gamma 120.00
_space_group_name_H-M_alt 'P 3 m 1'
_space_group_IT_number 156
loop_
_space_group_symop_operation_xyz
'x,y,z'
'-y,x-y,z'
'-x+y,-x,z'
'-y,-x,z'
'-x+y,y,z'
'x,x-y,z'
loop_
_atom_site_label
_atom_site_type_symbol
_atom_site_fract_x
_atom_site_fract_y
_atom_site_fract_z
Y1 Y 0.0000 0.0000 0.0000
Cd1 Cd 0.6667 0.3333 0.3467
Te1 Te 0.3333 0.6667 0.7114
```

Results
For the uncorrected energy, the calculation gives -4.04 eV/atom. As for the density of states at the Fermi level: 2.88 states/eV/cell. The calculation puts the formation energy from raw total energies at -0.536 eV/atom. The calculation puts the energy above the most stable polymorph in this dataset at 25.4 kJ/mol of atoms.

=====

VASP calculation (GGA-PBE) on crystalline In2POs at its relaxed geometry.

```
data_In2POs
_cell_length_a 6.163
_cell_length_b 6.163
_cell_length_c 11.722
_cell_angle_alpha 90.00
_cell_angle_beta 90.00
_cell_angle_gamma 90.00
_space_group_name_H-M_alt 'I -4 2 d'
_space_group_IT_number 122
_space_group_name_Hall 'I -4 2bw'
loop_
_atom_site_label
_atom_site_type_symbol
_atom_site_fract_x
_atom_site_fract_y
_atom_site_fract_z
In1 In 0.240 0.250 0.125
P1 P 0.000 0.000 0.000
Os1 Os 0.000 0.000 0.500
```

Results
For the uncorrected energy, the calculation gives -4.53 eV/atom. As for the density of states at the Fermi level: 76.19 states/eV/cell. Its formation energy is 1.00 eV/atom.

=====

VASP calculation (GGA-PBE) on crystalline Ba2NiPtN at its relaxed geometry.

```
data_Ba2NiPtN
_cell_length_a 5.723
_cell_length_b 5.723
_cell_length_c 3.577
_cell_angle_alpha 90.00
_cell_angle_beta 90.00
_cell_angle_gamma 90.00
_space_group_name_H-M_alt 'P 4/m m m'
_space_group_IT_number 123
_space_group_name_Hall '-P 4 2'
loop_
_atom_site_label
_atom_site_type_symbol
_atom_site_fract_x
_atom_site_fract_y
_atom_site_fract_z
Ba1 Ba 0.000 0.500 0.000
Ni1 Ni 0.000 0.000 0.500
Pt1 Pt 0.500 0.500 0.500
N1 N 0.000 0.000 0.000
```

Results
For the uncorrected energy, the calculation gives -5.31 eV/atom. As for the density of states at the Fermi level: 2.88 states/eV/cell. The calculation puts the formation energy from raw total energies at -0.513 eV/atom. The calculation puts the energy above the most stable polymorph in this dataset at 0.0 kJ/mol of atoms.